Record 1
## Mo2OsPb (GGA-PBE)

Data for Mo2OsPb after structural relaxation.

Geometry as POSCAR:
```
Mo2OsPb
1.0
-5.163 5.074 -1.901
-5.237 -5.348 -0.050
-5.718 0.345 1.719
Os Mo Pb
2 4 2
Cartesian
-8.077 -2.569 0.347 Os
-5.200 -0.137 -0.976 Os
-5.600 -2.374 0.068 Mo
-8.445 -0.105 0.555 Mo
-5.059 2.341 -0.672 Mo
-13.133 0.281 -0.416 Mo
0.000 0.000 0.000 Pb
-8.041 2.641 -0.579 Pb
```

Values from the calculation:
SG = I-42d, No. 122

=====

Record 2
## MoOsPb2 (GGA-PBE)

Data for MoOsPb2 after structural relaxation.

Geometry as POSCAR:
```
MoOsPb2
1.0
-0.178 -0.537 -3.085
-1.280 -2.807 0.563
-9.844 1.018 0.390
Pb Os Mo
2 1 1
Cartesian
-9.277 0.784 0.398 Pb
-3.393 -0.499 -1.312 Pb
-7.994 -1.804 -0.819 Os
-6.044 -0.684 0.467 Mo
```

Values from the calculation:
SG = Pm, No. 6

=====

Number 1: energy of formation from the pure elements 986 meV per atom, theoretical density 12.5 g cm⁻³. Number 2: energy of formation from the pure elements 327 meV per atom, theoretical density 12.6 g cm⁻³.